Entry from the Alexandria database: Pr6NdHg after structural relaxation (GGA-PBE).

a b c (Å): 5.049 5.049 21.042
angles (deg): 90.00 90.00 90.00
Element x y z (fractional)
1 Pr 0.000 0.000 0.248
2 Pr 0.000 0.000 0.752
3 Pr 0.000 0.500 0.121
4 Pr 0.000 0.500 0.379
5 Pr 0.000 0.500 0.621
6 Pr 0.000 0.500 0.879
7 Pr 0.500 0.000 0.121
8 Pr 0.500 0.000 0.379
9 Pr 0.500 0.000 0.621
10 Pr 0.500 0.000 0.879
11 Pr 0.500 0.500 0.252
12 Pr 0.500 0.500 0.748
13 Nd 0.000 0.000 0.000
14 Nd 0.500 0.500 0.500
15 Hg 0.000 0.000 0.500
16 Hg 0.500 0.500 0.000

The density of states at the Fermi level comes out at 1.37 states/eV/atom. Its total energy is -4.279 eV per atom. The energy above the most stable polymorph in this dataset is 0 meV per atom. The formation energy is -0.061 eV per atom.